[1]
## VCuSbI2 (GGA-PBE)

Data for VCuSbI2 after structural relaxation.

Cell lengths 5.2936, 5.2936, 5.1438 Å; angles 90.00, 90.00, 90.00 degrees
Each line ends with the local moment (μB).
Atoms (fractional coordinates):
V1 0.5000 0.5000 0.5000  -0.06
Cu1 0.0000 0.0000 0.0000  -0.01
Sb1 0.0000 0.0000 0.5000  -0.08
I1 0.5000 0.0000 0.0000  0.00
I2 0.0000 0.5000 0.0000  0.00

Values from the calculation:
- total moment (μB per cell) = 0.28
- energy above the lowest structure with this stoichiometry (meV/atom) = 366.2
- D(E_F) (states/eV/f.u.) = 10.2

***

[2]
## CuSbWI2 (GGA-PBE)

Data for CuSbWI2 after structural relaxation.

Cell lengths 5.2291, 5.2291, 5.1851 Å; angles 90.00, 90.00, 90.00 degrees
Each line ends with the local moment (μB).
Atoms (fractional coordinates):
Cu1 0.0000 0.0000 0.0000  -0.01
Sb1 0.0000 0.0000 0.5000  -0.24
I1 0.0000 0.5000 0.0000  -0.05
I2 0.5000 0.0000 0.0000  -0.05
W1 0.5000 0.5000 0.5000  3.05

Values from the calculation:
- total moment (μB per cell) = 3.46
- energy above the lowest structure with this stoichiometry (meV/atom) = 366.8
- D(E_F) (states/eV/f.u.) = 5.8

***

[3]
## CuSbWI2 (GGA-PBE)

Data for CuSbWI2 after structural relaxation.

Cell lengths 5.5276, 5.5276, 5.2600 Å; angles 90.00, 90.00, 90.00 degrees
Each line ends with the local moment (μB).
Atoms (fractional coordinates):
W1 0.0000 0.0000 0.0000  0.72
I1 0.0000 0.5000 0.0000  0.02
I2 0.5000 0.0000 0.0000  0.02
Cu1 0.5000 0.5000 0.5000  0.00
Sb1 0.0000 0.0000 0.5000  -0.05

Values from the calculation:
- total moment (μB per cell) = 0.87
- energy above the lowest structure with this stoichiometry (meV/atom) = 0.0
- D(E_F) (states/eV/f.u.) = 5.4

***

[4]
## YCuSbI2 (GGA-PBE)

Data for YCuSbI2 after structural relaxation.

Cell lengths 5.8605, 5.8605, 6.1830 Å; angles 90.00, 90.00, 90.00 degrees
Atoms (fractional coordinates):
Cu1 0.5000 0.5000 0.5000
I1 0.5000 0.0000 0.0000
I2 0.0000 0.5000 0.0000
Y1 0.0000 0.0000 0.0000
Sb1 0.0000 0.0000 0.5000

Values from the calculation:
- total moment (μB per cell) = 0.00
- energy above the lowest structure with this stoichiometry (meV/atom) = 116.3
- D(E_F) (states/eV/f.u.) = 6.0

***

[5]
## YCuSbI2 (GGA-PBE)

Data for YCuSbI2 after structural relaxation.

Cell lengths 5.2237, 5.2237, 5.4474 Å; angles 90.00, 90.00, 90.00 degrees
Atoms (fractional coordinates):
I1 0.5000 0.0000 0.0000
I2 0.0000 0.5000 0.0000
Y1 0.5000 0.5000 0.5000
Cu1 0.0000 0.0000 0.0000
Sb1 0.0000 0.0000 0.5000

Values from the calculation:
- total moment (μB per cell) = 0.00
- energy above the lowest structure with this stoichiometry (meV/atom) = 0.0
- D(E_F) (states/eV/f.u.) = 3.5

***

[6]
## YCuSb2I (GGA-PBE)

Data for YCuSb2I after structural relaxation.

Cell lengths 5.8849, 5.8849, 5.8514 Å; angles 90.00, 90.00, 90.00 degrees
Each line ends with the local moment (μB).
Atoms (fractional coordinates):
Cu1 0.5000 0.5000 0.5000  0.00
Y1 0.0000 0.0000 0.0000  0.00
Sb1 0.0000 0.5000 0.0000  0.07
Sb2 0.5000 0.0000 0.0000  0.07
I1 0.0000 0.0000 0.5000  0.04

Values from the calculation:
- total moment (μB per cell) = 0.38
- energy above the lowest structure with this stoichiometry (meV/atom) = 447.9
- D(E_F) (states/eV/f.u.) = 4.8

***

[7]
## YCuSb2I (GGA-PBE)

Data for YCuSb2I after structural relaxation.

Cell lengths 5.0026, 5.0026, 5.7115 Å; angles 90.00, 90.00, 90.00 degrees
Atoms (fractional coordinates):
I1 0.0000 0.0000 0.5000
Y1 0.5000 0.5000 0.5000
Sb1 0.0000 0.5000 0.0000
Sb2 0.5000 0.0000 0.0000
Cu1 0.0000 0.0000 0.0000

Values from the calculation:
- total moment (μB per cell) = 0.00
- energy above the lowest structure with this stoichiometry (meV/atom) = 0.0
- D(E_F) (states/eV/f.u.) = 3.0

***

[8]
## ZnCuSb2I (GGA-PBE)

Data for ZnCuSb2I after structural relaxation.

Cell lengths 5.1856, 5.1856, 5.6801 Å; angles 90.00, 90.00, 90.00 degrees
Atoms (fractional coordinates):
Cu1 0.5000 0.5000 0.5000
Zn1 0.0000 0.0000 0.0000
Sb1 0.5000 0.0000 0.0000
Sb2 0.0000 0.5000 0.0000
I1 0.0000 0.0000 0.5000

Values from the calculation:
- total moment (μB per cell) = 0.00
- energy above the lowest structure with this stoichiometry (meV/atom) = 257.2
- D(E_F) (states/eV/f.u.) = 3.7

***

[9]
## ZnCuSb2I (GGA-PBE)

Data for ZnCuSb2I after structural relaxation.

Cell lengths 5.1302, 5.1302, 5.4576 Å; angles 90.00, 90.00, 90.00 degrees
Atoms (fractional coordinates):
Sb1 0.0000 0.5000 0.0000
Sb2 0.5000 0.0000 0.0000
I1 0.0000 0.0000 0.5000
Zn1 0.5000 0.5000 0.5000
Cu1 0.0000 0.0000 0.0000

Values from the calculation:
- total moment (μB per cell) = 0.22
- energy above the lowest structure with this stoichiometry (meV/atom) = 0.0
- D(E_F) (states/eV/f.u.) = 5.4

***

[10]
## Sc3CuI (GGA-PBE)

Data for Sc3CuI after structural relaxation.

Cell lengths 5.0305, 5.0305, 5.0305 Å; angles 90.00, 90.00, 90.00 degrees
Atoms (fractional coordinates):
Cu1 0.0000 0.0000 0.0000
Sc1 0.0000 0.0000 0.5000
Sc2 0.0000 0.5000 0.0000
Sc3 0.5000 0.0000 0.0000
I1 0.5000 0.5000 0.5000

Values from the calculation:
- total moment (μB per cell) = 0.00
- energy above the lowest structure with this stoichiometry (meV/atom) = 0.0
- D(E_F) (states/eV/f.u.) = 7.2

***

[11]
## ScCu2I5 (GGA-PBE)

Data for ScCu2I5 after structural relaxation.

Cell lengths 7.5389, 8.0547, 8.0548 Å; angles 63.05, 61.89, 61.89 degrees
Atoms (fractional coordinates):
I1 0.4345 0.7488 0.7488
I2 0.6340 0.2582 0.2582
I3 0.7755 0.9214 0.9215
I4 0.1356 0.3417 0.8030
I5 0.1356 0.8030 0.3417
Cu1 0.4156 0.1088 0.6067
Cu2 0.4156 0.6067 0.1088
Sc1 0.0535 0.9884 0.9884

Values from the calculation:
- total moment (μB per cell) = 0.00
- D(E_F) (states/eV/f.u.) = 0.0
- total energy (eV per cell) = -27.29

***

[12]
## ScCu2I (GGA-PBE)

Data for ScCu2I after structural relaxation.

Cell lengths 7.6915, 7.6915, 6.0980 Å; angles 50.90, 50.90, 90.00 degrees
Atoms (fractional coordinates):
Cu1 0.3750 0.3696 0.7500
Cu2 0.6304 0.1250 0.2500
Cu3 0.8750 0.8804 0.7500
Cu4 0.1196 0.6250 0.2500
I1 0.0000 0.0000 0.0000
I2 0.7500 0.2500 0.5000
Sc1 0.5000 0.5000 0.0000
Sc2 0.2500 0.7500 0.5000

Values from the calculation:
- total moment (μB per cell) = 0.00
- energy above the lowest structure with this stoichiometry (meV/atom) = 0.0
- D(E_F) (states/eV/f.u.) = 0.0

***

[13]
## ScCu2I (GGA-PBE)

Data for ScCu2I after structural relaxation.

Cell lengths 4.7961, 4.7961, 4.7961 Å; angles 60.00, 60.00, 60.00 degrees
Atoms (fractional coordinates):
Cu1 0.7500 0.7500 0.7500
Cu2 0.2500 0.2500 0.2500
Sc1 0.0000 0.0000 0.0000
I1 0.5000 0.5000 0.5000

Values from the calculation:
- total moment (μB per cell) = 0.00
- energy above the lowest structure with this stoichiometry (meV/atom) = 221.4
- D(E_F) (states/eV/f.u.) = 2.6

***

[14]
## ScCu3I (GGA-PBE)

Data for ScCu3I after structural relaxation.

Cell lengths 5.0023, 5.0023, 5.0023 Å; angles 90.00, 90.00, 90.00 degrees
Atoms (fractional coordinates):
I1 0.5000 0.5000 0.5000
Cu1 0.0000 0.5000 0.0000
Cu2 0.0000 0.0000 0.5000
Cu3 0.5000 0.0000 0.0000
Sc1 0.0000 0.0000 0.0000

Values from the calculation:
- total moment (μB per cell) = 0.00
- energy above the lowest structure with this stoichiometry (meV/atom) = 0.0
- D(E_F) (states/eV/f.u.) = 7.3